[1]
Material: KInAsCl
Method: DFT, GGA-PBE
State: relaxed

**Final energy**: -27.9 eV for the cell shown
**Offset from the most stable computed form**: 17.7 meV per atom
**Magnetization**: 0.00 μB per cell
**Calculated volume**: 260.0 Å³ per cell
**ΔE_f (raw)**: -0.909 eV/atom

POSCAR file:
```
KInAsCl
1.0
8.294 0.000 0.001
0.000 4.360 0.000
-2.305 0.000 7.190
As Cl K In
2 2 2 2
Cartesian
1.310 0.000 1.476
0.157 2.180 5.071
3.918 0.000 4.961
5.070 2.180 1.366
6.288 0.000 3.079
5.136 2.180 6.674
1.424 0.000 4.154
2.576 2.180 0.559
```

=====

[2]
Material: KInAsCl
Method: DFT, GGA-PBE
State: relaxed

**Final energy**: -14.0 eV for the cell shown
**Offset from the most stable computed form**: 0.0 meV per atom
**Magnetization**: 0.00 μB per cell
**Calculated volume**: 127.7 Å³ per cell
**ΔE_f (raw)**: -0.927 eV/atom

POSCAR file:
```
KInAsCl
1.0
4.376 0.000 0.000
-2.188 3.790 0.000
0.000 0.000 7.698
As Cl K In
1 1 1 1
Cartesian
0.000 2.527 0.059
2.188 1.263 4.249
0.000 0.000 2.546
2.188 1.263 6.862
```

=====

[3]
Material: KInAsCl
Method: DFT, GGA-PBE
State: relaxed

**Final energy**: -27.1 eV for the cell shown
**Offset from the most stable computed form**: 118.6 meV per atom
**Magnetization**: 0.00 μB per cell
**Calculated volume**: 234.1 Å³ per cell
**ΔE_f (raw)**: -0.808 eV/atom

POSCAR file:
```
KInAsCl
1.0
3.969 0.000 0.000
0.000 3.854 0.000
0.000 0.000 15.308
As Cl K In
2 2 2 2
Cartesian
0.000 0.000 7.494
0.000 1.927 15.148
1.984 0.000 11.793
1.984 1.927 4.139
0.000 0.000 2.839
0.000 1.927 10.494
1.984 0.000 14.474
1.984 1.927 6.820
```